No. 1
Ti3BeCu: optimized geometry, GGA-PBE.

Computed properties:
ΔE to the lowest computed polymorph, meV per atom: 0.0
Formation energy from the elements, eV/atom: 0.513

abc: 4.334 4.334 4.334
angles: 90.00 90.00 90.00
Element x y z (fractional)
Ti (0.000, 0.000, 0.500)
Ti (0.000, 0.500, 0.000)
Ti (0.500, 0.000, 0.000)
Be (0.000, 0.000, 0.000)
Cu (0.500, 0.500, 0.500)

No. 2
SrZrAs2: optimized geometry, GGA-PBE.

Computed properties:
ΔE to the lowest computed polymorph, meV per atom: 1210.8
Formation energy from the elements, eV/atom: 0.061

abc: 7.109 7.109 7.109
angles: 90.00 90.00 90.00
Element x y z (fractional)
Sr (0.000, 0.000, 0.000)
Sr (0.000, 0.500, 0.500)
Sr (0.500, 0.000, 0.500)
Sr (0.500, 0.500, 0.000)
Zr (0.250, 0.250, 0.750)
Zr (0.250, 0.750, 0.250)
Zr (0.750, 0.250, 0.250)
Zr (0.750, 0.750, 0.750)
As (0.000, 0.000, 0.500)
As (0.000, 0.500, 0.000)
As (0.250, 0.250, 0.250)
As (0.250, 0.750, 0.750)
As (0.500, 0.000, 0.000)
As (0.500, 0.500, 0.500)
As (0.750, 0.250, 0.750)
As (0.750, 0.750, 0.250)

No. 3
Ni2BPtAu: optimized geometry, GGA-PBE.

Computed properties:
Formation energy from the elements, eV/atom: -0.027

abc: 3.970 3.970 4.109
angles: 90.00 90.00 90.00
Element x y z (fractional)
Ni (0.000, 0.500, 0.000)
Ni (0.500, 0.000, 0.000)
B (0.000, 0.000, 0.000)
Pt (0.000, 0.000, 0.500)
Au (0.500, 0.500, 0.500)

No. 4
NdYErTh: optimized geometry, GGA-PBE.

Computed properties:
ΔE to the lowest computed polymorph, meV per atom: 0.0
Formation energy from the elements, eV/atom: 0.014

abc: 3.602 3.602 34.719
angles: 90.00 90.00 120.00
Element x y z (fractional)
Nd (0.000, 0.000, 0.000)
Nd (0.333, 0.667, 0.667)
Nd (0.667, 0.333, 0.333)
Y (0.000, 0.000, 0.421)
Y (0.333, 0.667, 0.087)
Y (0.667, 0.333, 0.754)
Er (0.000, 0.000, 0.249)
Er (0.333, 0.667, 0.916)
Er (0.667, 0.333, 0.582)
Th (0.000, 0.000, 0.836)
Th (0.333, 0.667, 0.502)
Th (0.667, 0.333, 0.169)

No. 5
TmMgCuSn: optimized geometry, GGA-PBE.

Computed properties:
Formation energy from the elements, eV/atom: -0.294

abc: 6.981 6.981 6.981
angles: 90.00 90.00 90.00
Element x y z (fractional)
Tm (0.000, 0.000, 0.000)
Tm (0.000, 0.500, 0.500)
Tm (0.500, 0.000, 0.500)
Tm (0.500, 0.500, 0.000)
Mg (0.000, 0.000, 0.500)
Mg (0.000, 0.500, 0.000)
Mg (0.500, 0.000, 0.000)
Mg (0.500, 0.500, 0.500)
Cu (0.250, 0.250, 0.250)
Cu (0.250, 0.750, 0.750)
Cu (0.750, 0.250, 0.750)
Cu (0.750, 0.750, 0.250)
Sn (0.250, 0.250, 0.750)
Sn (0.250, 0.750, 0.250)
Sn (0.750, 0.250, 0.250)
Sn (0.750, 0.750, 0.750)

No. 6
YAg8Au2: optimized geometry, GGA-PBE.

Computed properties:
Formation energy from the elements, eV/atom: 0.092

abc: 7.597 7.597 4.888
angles: 101.31 101.31 61.30
Element x y z (fractional)
Y (0.000, 0.000, 0.000)
Ag (0.239, 0.239, 0.132)
Ag (0.251, 0.611, 0.232)
Ag (0.362, 0.362, 0.700)
Ag (0.389, 0.749, 0.768)
Ag (0.611, 0.251, 0.232)
Ag (0.638, 0.638, 0.300)
Ag (0.749, 0.389, 0.768)
Ag (0.761, 0.761, 0.868)
Au (0.134, 0.134, 0.569)
Au (0.866, 0.866, 0.431)

Look up the formation energy from the elements of the third one. -0.027 eV/atom

Among the records above, which one has the lowest formation energy from the elements? TmMgCuSn